## NbPCl2 (PBE-GGA)

Data for a geometry-optimized NbPCl2 structure.

Computed properties:
Total moment, μB/f.u.: 0.000
Energy relative to the lowest polymorph listed for this composition, eV per atom: 0.0000
N(E_F), states/eV per cell: 0.76
Final energy, eV/atom: -5.11

extended XYZ file:
```
8
Lattice="-0.481 -3.732 -8.370 9.154 -0.608 -0.255 4.219 -4.345 -3.337" Properties=species:S:1:pos:R:3 pbc="T T T"
P 4.336 -2.170 -4.313
P 8.854 -3.562 -3.952
Nb 0.000 0.000 0.000
Nb 4.037 -5.124 -8.010
Cl 1.826 -4.056 -7.355
Cl 6.307 -5.105 -9.153
Cl 5.041 -4.795 -5.699
Cl 2.974 -6.540 -9.833
```

***

## ErZnGaAg (PBE-GGA)

Data for a geometry-optimized ErZnGaAg structure.

Computed properties:
Total moment, μB/f.u.: 0.000
N(E_F), states/eV per cell: 3.08
ΔH_f (0 K), eV per atom: -0.32
Final energy, eV/atom: -3.24

extended XYZ file:
```
4
Lattice="4.747 0.000 0.000 2.373 4.111 0.000 2.373 1.370 3.876" Properties=species:S:1:pos:R:3 pbc="T T T"
Zn 0.000 0.000 0.000
Ga 4.747 2.740 1.938
Ag 2.373 1.370 0.969
Er 7.120 4.111 2.907
```

***

## Tb5Pr2Nd2 (PBE-GGA)

Data for a geometry-optimized Tb5Pr2Nd2 structure.

Computed properties:
Total moment, μB/f.u.: 0.000
Energy relative to the lowest polymorph listed for this composition, eV per atom: 0.0562
N(E_F), states/eV per cell: 28.60
ΔH_f (0 K), eV per atom: 0.19
Final energy, eV/atom: -4.50

extended XYZ file:
```
18
Lattice="12.017 0.000 0.000 0.000 6.797 0.000 -6.009 -3.399 7.543" Properties=species:S:1:pos:R:3 pbc="T T T"
Tb -2.934 1.392 6.742
Tb 8.942 4.790 0.801
Tb -3.075 -2.007 6.742
Tb 9.083 1.392 0.801
Tb 2.804 -0.728 2.149
Tb 3.205 2.671 5.394
Tb 3.205 2.671 2.149
Tb 2.804 -0.728 5.394
Tb -2.891 2.779 3.771
Tb 8.900 -0.620 3.771
Pr 0.000 0.101 0.000
Pr 6.009 3.500 0.000
Pr 0.086 0.687 3.771
Pr 5.922 4.086 3.771
Nd -0.010 3.792 1.903
Nd 6.019 0.393 5.639
Nd 6.019 0.393 1.903
Nd -0.010 3.792 5.639
```

***

## RbBa2HgIr (PBE-GGA)

Data for a geometry-optimized RbBa2HgIr structure.

Computed properties:
Total moment, μB/f.u.: 0.000
N(E_F), states/eV per cell: 2.17
ΔH_f (0 K), eV per atom: -0.04
Final energy, eV/atom: -2.84

extended XYZ file:
```
5
Lattice="-2.275 0.974 -5.580 -4.067 -4.467 0.878 -3.609 3.701 2.117" Properties=species:S:1:pos:R:3 pbc="T T T"
Ir 0.000 0.000 0.000
Hg -1.804 1.851 1.059
Rb -4.975 0.104 -1.293
Ba -2.033 -2.234 0.439
Ba -1.137 0.487 -2.790
```

***

## KZnCdAu3 (PBE-GGA)

Data for a geometry-optimized KZnCdAu3 structure.

Computed properties:
Total moment, μB/f.u.: 0.000
N(E_F), states/eV per cell: 3.00
ΔH_f (0 K), eV per atom: -0.14
Final energy, eV/atom: -2.33

extended XYZ file:
```
12
Lattice="-0.596 0.954 6.383 -4.348 -5.956 0.484 7.691 -0.960 0.862" Properties=species:S:1:pos:R:3 pbc="T T T"
K 1.978 -1.016 5.272
K 0.768 -4.946 2.456
Zn 1.038 -0.609 1.833
Zn 1.709 -5.354 5.895
Cd 5.274 -3.633 2.681
Cd -2.528 -2.330 5.048
Au 3.044 -2.041 2.234
Au -0.842 -1.153 0.094
Au -3.805 -4.326 3.582
Au -1.140 -0.676 3.285
Au -3.507 -4.803 0.390
Au -0.297 -3.922 5.494
```

***

## NbSe2NO (PBE-GGA)

Data for a geometry-optimized NbSe2NO structure.

Computed properties:
Total moment, μB/f.u.: 0.483
Energy relative to the lowest polymorph listed for this composition, eV per atom: 0.0000
N(E_F), states/eV per cell: 6.50
Final energy, eV/atom: -5.38

extended XYZ file:
```
5
Lattice="-2.531 4.280 -0.982 -3.541 -1.319 3.378 2.018 1.844 2.835" Properties=species:S:1:pos:R:3 pbc="T T T"
Nb 0.000 0.000 0.000
O -2.027 2.402 2.615
Se -1.770 -0.660 1.689
Se -1.266 2.140 -0.491
N 1.009 0.922 1.417
```

***

## Ce2Mg3Cd (PBE-GGA)

Data for a geometry-optimized Ce2Mg3Cd structure.

Computed properties:
Total moment, μB/f.u.: 2.820
N(E_F), states/eV per cell: 28.72
ΔH_f (0 K), eV per atom: -0.06
Final energy, eV/atom: -2.99

extended XYZ file:
```
12
Lattice="6.093 0.000 0.000 -3.046 5.277 0.000 0.000 0.000 9.568" Properties=species:S:1:pos:R:3 pbc="T T T"
Ce 3.046 1.759 4.155
Ce 0.000 3.518 5.413
Ce 0.000 3.518 8.939
Ce 3.046 1.759 0.629
Mg 0.000 1.774 2.392
Mg 1.536 0.887 7.176
Mg 3.046 3.503 7.176
Mg -1.510 4.390 2.392
Mg 4.557 0.887 7.176
Mg 1.510 4.390 2.392
Cd 0.000 0.000 4.784
Cd 0.000 0.000 0.000
```

***

## Hg2SbP (PBE-GGA)

Data for a geometry-optimized Hg2SbP structure.

Computed properties:
Total moment, μB/f.u.: 0.000
Energy relative to the lowest polymorph listed for this composition, eV per atom: 0.3620
N(E_F), states/eV per cell: 1.94
Final energy, eV/atom: -2.09

extended XYZ file:
```
4
Lattice="0.000 3.606 3.606 3.606 0.000 3.606 3.606 3.606 0.000" Properties=species:S:1:pos:R:3 pbc="T T T"
Hg 0.000 0.000 0.000
Hg 5.409 5.409 5.409
Sb 1.803 1.803 1.803
P 3.606 3.606 3.606
```

***

- What is the total moment in the sixth record?
  0.483 μB/f.u.